1.
The following is a DFT calculation (PBE) of Sn2Pd2I after structural relaxation.

Uncorrected formation energy (kcal/mol of atoms): -1.3
VASP energy (eV per atom): -4.045

Unit cell a=8.417 b=8.417 c=3.272 alpha=90.00 beta=90.00 gamma=90.00
Space group P4/mbm (No. 127)
Asymmetric unit:
Sn1 0.162 0.338 0.000
Pd1 0.120 0.620 0.500
I1 0.000 0.000 0.000

2.
The following is a DFT calculation (PBE) of SnPdI4 after structural relaxation.

Uncorrected formation energy (kcal/mol of atoms): -7.8
VASP energy (eV per atom): -2.904

Unit cell a=11.399 b=8.908 c=9.732 alpha=90.00 beta=93.32 gamma=90.00
Space group C2/c (No. 15)
Asymmetric unit:
Sn1 0.000 0.009 0.250
Pd1 0.250 0.250 0.000
I1 0.018 0.244 0.967
I2 0.231 0.425 0.218

3.
The following is a DFT calculation (PBE) of SnPdI2 after structural relaxation.

Uncorrected formation energy (kcal/mol of atoms): 2.3
VASP energy (eV per atom): -2.975

Unit cell a=7.630 b=7.630 c=7.630 alpha=90.00 beta=90.00 gamma=90.00
Space group Fm-3m (No. 225)
Asymmetric unit:
Sn1 0.000 0.000 0.000
Pd1 0.000 0.000 0.500
I1 0.250 0.250 0.250